1.
The following is a PBE-GGA calculation of a relaxed structure of PmGe3, from Alexandria.

POSCAR file:
```
PmGe3
1.0
-4.9223 1.3900 0.5327
-0.7307 -4.2819 4.4216
1.7845 5.7407 1.5095
Ge Pm
6 2
Direct
0.7500 0.8544 0.1456 Ge
0.7500 0.2912 0.1456 Ge
0.7500 0.8544 0.7088 Ge
0.2500 0.1456 0.8544 Ge
0.2500 0.7088 0.8544 Ge
0.2500 0.1456 0.2912 Ge
0.2500 0.6667 0.3333 Pm
0.7500 0.3333 0.6667 Pm
```

Summary:
Fermi-level density of states = 0.561 states/eV per atom
SG = No. 194
Raw total energy = -40.507 eV per cell
ρ = 7045 kg/m³
Crystal system = hexagonal
Formation energy = -1.7 eV/f.u.

2.
The following is a PBE-GGA calculation of a relaxed structure of PmGe2, from Alexandria.

POSCAR file:
```
PmGe2
1.0
-1.4170 2.1439 -3.7644
-3.8296 -3.2335 -3.1593
-5.4633 2.2222 0.5627
Pm Ge
2 4
Direct
0.5657 0.1843 0.6843 Pm
0.4343 0.8157 0.3157 Pm
0.1536 0.7937 0.8991 Ge
0.8464 0.2063 0.1009 Ge
0.8464 0.6009 0.7063 Ge
0.1536 0.3991 0.2937 Ge
```

Summary:
Polymorph energy (0 for the lowest one) = 0.00 eV/f.u.
Fermi-level density of states = 0.517 states/eV per atom
SG = No. 74
Raw total energy = -31.111 eV per cell
ρ = 7260 kg/m³
Crystal system = orthorhombic
Formation energy = -1.6 eV/f.u.

3.
The following is a PBE-GGA calculation of a relaxed structure of Pm6Ge5, from Alexandria.

POSCAR file:
```
Pm6Ge5
1.0
-3.9892 -3.6956 -5.0984
-6.3615 -3.4215 2.0084
-4.7963 4.3887 -3.0802
Pm Ge
6 5
Direct
0.7420 0.0000 0.7470 Pm
0.2580 0.0000 0.2530 Pm
0.4308 0.6562 0.7398 Pm
0.9130 0.6562 0.2602 Pm
0.5692 0.3438 0.2602 Pm
0.0870 0.3438 0.7398 Pm
0.5000 0.0000 0.5000 Ge
0.3325 0.3351 0.0000 Ge
0.6675 0.6649 0.0000 Ge
0.1590 0.6820 0.5000 Ge
0.8410 0.3180 0.5000 Ge
```

Summary:
Fermi-level density of states = 0.717 states/eV per atom
SG = No. 12
Raw total energy = -58.607 eV per cell
ρ = 6260 kg/m³
Crystal system = monoclinic
Formation energy = -7.0 eV/f.u.